Here is an optimized crystal structure of TlNi2Hg from Alexandria via LeMat-Bulk. Energies are from PBEsol.

a b c (Å): 3.1344 4.3048 5.3207
angles (deg): 102.50 90.00 111.35
Fractional coordinates of all 4 atoms:
Hg  0.5000  0.0000  0.0000
Ni  0.7500  0.4999  0.7535
Ni  0.2500  0.5001  0.2465
Tl  0.0000  0.0000  0.5000

Results
E_form	307	meV/atom
distance to the lowest polymorph of the same formula	92.3	meV/atom
volume	65	Å³/cell
SG	C2/m, No. 12
DFT total energy	-14.28	eV for the cell shown
total moment	0.00	μB/cell